Computed, not measured: crystalline MoWO2 at its relaxed geometry at the PBE with a Hubbard U level of DFT.

Geometry as extended XYZ:
```
12
Lattice="2.815 0.000 0.000 -1.408 2.438 0.000 0.000 0.000 20.824" Properties=species:S:1:pos:R:3 pbc="T T T"
Mo 0.000 0.000 0.000
Mo 0.000 1.625 13.883
Mo 1.408 0.813 6.941
W 0.000 0.000 10.412
W 0.000 1.625 3.471
W 1.408 0.813 17.354
O 0.000 0.000 8.388
O 0.000 0.000 12.436
O 0.000 1.625 1.447
O 0.000 1.625 5.495
O 1.408 0.813 15.329
O 1.408 0.813 19.378
```

Values from the calculation:
- Space group: R-3m
- Relative energy among the computed polymorphs: 0.000 eV/f.u.